LiMgCr2: relaxed, PBEsol.

Values from the calculation:
The total magnetization comes out at 0.0 μB/f.u. The energy of formation from the pure elements comes out at 575 meV/atom. The density is 4.359 g/cm³.

a b c (Å): 3.370 3.370 4.537
angles (deg): 90.00 90.00 90.00
Space group P4/mmm (No. 123)
One atom of each set of equivalent atoms:
Li 0.000 0.000 0.000
Mg 0.500 0.500 0.000
Cr 0.000 0.500 0.500

Si2Ag: relaxed, PBEsol.

Values from the calculation:
The energy relative to the lowest polymorph listed for this composition comes out at 0 meV/atom. The total magnetization comes out at 0.0 μB/f.u. The density is 5.328 g/cm³. Its uncorrected formation energy is 0.2660 eV/atom.

a b c (Å): 3.506 3.506 4.159
angles (deg): 90.00 90.00 90.00
Space group P4/mmm (No. 123)
One atom of each set of equivalent atoms:
Si 0.000 0.500 0.000
Ag 0.000 0.000 0.500

MgSO9: relaxed, PBEsol.

Values from the calculation:
The total magnetization comes out at 4.0 μB/f.u. The density is 2.412 g/cm³. Its uncorrected formation energy is -0.5896 eV/atom.

a b c (Å): 7.6059 7.6059 8.2587
angles (deg): 90.00 90.00 120.00
Space group R3 (No. 146, hexagonal axes)
One atom of each set of equivalent atoms:
Mg 0.0000 0.0000 0.0000
S 0.0000 0.0000 0.4998
O 0.0010 0.1883 0.4998
O 0.0800 0.8437 0.8264
O 0.1767 0.7461 0.8404

MgP2PdCl: relaxed, PBEsol.

Values from the calculation:
The total magnetization comes out at 0.0 μB/f.u. The density is 3.658 g/cm³. Its uncorrected formation energy is 0.7301 eV/atom.

a b c (Å): 4.761 4.761 4.569
angles (deg): 90.00 90.00 90.00
Space group P4/mmm (No. 123)
One atom of each set of equivalent atoms:
Mg 0.000 0.000 0.000
P 0.000 0.500 0.000
Pd 0.500 0.500 0.500
Cl 0.000 0.000 0.500

Q: What is the formula in the third record?
A: MgSO9